Computed, not measured: ScCd2Re after structural relaxation at the PBE-GGA level of DFT.

Properties
- ΔE to the lowest computed polymorph: 52 meV/atom
- Calculated volume: 18.7 Å³/atom
- Symmetry: P4/mmm
- Calculated total energy: -4.94 eV/atom
- Crystal system: tetragonal
- Density of states at the Fermi level: 0.760 states/eV per atom
- E_form: 0.21 eV per atom
- ρ: 10.1 g/cm3

Lattice parameters (Å, degrees): 4.0535 4.0535 4.5551 90.00 90.00 90.00
With the nearest neighbours (Å) after each atom.
Fractional coordinates of all 4 atoms:
Sc (0.0000, 0.0000, 0.0000)  4 Re 2.87, 8 Cd 3.05
Cd (0.0000, 0.5000, 0.5000)  4 Cd 2.87, 4 Re 3.05, 4 Sc 3.05
Cd (0.5000, 0.0000, 0.5000)  4 Cd 2.87, 4 Re 3.05, 4 Sc 3.05
Re (0.5000, 0.5000, 0.0000)  4 Sc 2.87, 8 Cd 3.05